# 1
{
  "formula": "CaCl4",
  "functional": "PBE",
  "state": "relaxed",
  "spacegroup": "Im-3m (229)",
  "total_magnetization_mub_per_fu": 1.8,
  "e_form_raw_mev_per_atom": -1029,
  "lattice": [[0.953, -4.102, 3.818], [-4.025, 3.507, 1.952], [-1.724, -2.327, -4.891]],
  "species": ["Ca", "Cl", "Cl", "Cl", "Cl"],
  "fractional_positions": [[0.000, 0.000, 0.000], [0.000, 0.500, 0.000], [0.000, 0.000, 0.500], [0.500, 0.500, 0.500], [0.500, 0.000, 0.000]]
}

***

# 2
{
  "formula": "Ca2Cl",
  "functional": "PBE",
  "state": "relaxed",
  "spacegroup": "P6/mmm (191)",
  "polymorph_energy_ev_per_atom": 0.8300,
  "total_magnetization_mub_per_fu": 0.0,
  "e_form_raw_mev_per_atom": -215,
  "lattice": [[3.015, -5.222, 0.000], [3.015, 5.222, 0.000], [0.000, 0.000, 3.620]],
  "species": ["Ca", "Ca", "Cl"],
  "fractional_positions": [[0.667, 0.333, 0.000], [0.333, 0.667, 0.000], [0.000, 0.000, 0.500]]
}

***

# 3
{
  "formula": "Ca2Cl",
  "functional": "PBE",
  "state": "relaxed",
  "spacegroup": "I4/mmm (139)",
  "polymorph_energy_ev_per_atom": 0.1451,
  "total_magnetization_mub_per_fu": 0.0,
  "e_form_raw_mev_per_atom": -900,
  "lattice": [[7.446, 0.000, 0.000], [5.669, 4.827, 0.000], [-6.557, -2.413, 2.572]],
  "species": ["Ca", "Ca", "Cl"],
  "fractional_positions": [[0.349, 0.349, 0.000], [0.651, 0.651, 0.000], [0.000, 0.000, 0.000]]
}

***

# 4
{
  "formula": "Ca4Cl",
  "functional": "PBE",
  "state": "relaxed",
  "spacegroup": "Pm-3m (221)",
  "polymorph_energy_ev_per_atom": 0.0000,
  "total_magnetization_mub_per_fu": 0.0,
  "e_form_raw_mev_per_atom": -521,
  "lattice": [[5.723, 0.000, 0.000], [0.000, 5.723, 0.000], [0.000, 0.000, 5.723]],
  "species": ["Ca", "Ca", "Ca", "Ca", "Cl"],
  "fractional_positions": [[0.000, 0.000, 0.000], [0.500, 0.000, 0.500], [0.000, 0.500, 0.500], [0.500, 0.500, 0.000], [0.500, 0.500, 0.500]]
}

***

# 5
{
  "formula": "CaCl",
  "functional": "PBE",
  "state": "relaxed",
  "spacegroup": "P-6m2 (187)",
  "total_magnetization_mub_per_fu": 0.9,
  "e_form_raw_mev_per_atom": -1485,
  "lattice": [[-1.124, -1.893, 3.075], [-2.054, -0.155, -3.172], [2.156, -3.289, -1.236]],
  "species": ["Ca", "Cl"],
  "fractional_positions": [[0.000, 0.000, 0.000], [0.667, 0.333, 0.500]]
}

***

# 6
{
  "formula": "CaCl3",
  "functional": "PBE",
  "state": "relaxed",
  "spacegroup": "Cmmm (65)",
  "total_magnetization_mub_per_fu": 0.0,
  "e_form_raw_mev_per_atom": -1412,
  "lattice": [[-1.739, 3.190, 2.516], [-3.352, -1.703, -2.322], [-0.855, -3.413, 3.736]],
  "species": ["Ca", "Cl", "Cl", "Cl"],
  "fractional_positions": [[0.000, 0.000, 0.000], [0.000, 0.500, 0.500], [0.500, 0.000, 0.500], [0.500, 0.500, 0.000]]
}

***

# 7
{
  "formula": "CaCl",
  "functional": "PBE",
  "state": "relaxed",
  "spacegroup": "P6_3/mmc (194)",
  "total_magnetization_mub_per_fu": 0.3,
  "e_form_raw_mev_per_atom": -1493,
  "lattice": [[4.076, 0.000, 0.000], [-2.038, 3.530, 0.000], [0.000, 0.000, 6.910]],
  "species": ["Ca", "Ca", "Cl", "Cl"],
  "fractional_positions": [[0.333, 0.667, 0.250], [0.667, 0.333, 0.750], [0.000, 0.000, 0.000], [0.000, 0.000, 0.500]]
}

***

# 8
{
  "formula": "CaCl",
  "functional": "PBE",
  "state": "relaxed",
  "spacegroup": "Pm-3n (223)",
  "total_magnetization_mub_per_fu": 0.0,
  "e_form_raw_mev_per_atom": -1297,
  "lattice": [[-4.627, -3.392, -5.325], [3.066, -6.979, 1.782], [-5.520, -1.032, 5.454]],
  "species": ["Ca", "Ca", "Ca", "Ca", "Ca", "Ca", "Cl", "Cl", "Cl", "Cl", "Cl", "Cl"],
  "fractional_positions": [[0.250, 0.000, 0.500], [0.750, 0.000, 0.500], [0.000, 0.500, 0.250], [0.000, 0.500, 0.750], [0.500, 0.250, 0.000], [0.500, 0.750, 0.000], [0.250, 0.500, 0.000], [0.750, 0.500, 0.000], [0.500, 0.000, 0.250], [0.500, 0.000, 0.750], [0.000, 0.250, 0.500], [0.000, 0.750, 0.500]]
}